An optimized crystal structure of Hf13Pb3. Source: Alexandria, functional PBE-GGA.

The value obtained for the density of states at the Fermi level is 29.4 states/eV/cell. The value obtained for the total energy is -281.2 eV per cell. The calculation puts the density at 13.45 g/cm³. The formation enthalpy at 0 K is 0.00 eV per atom.

The space group is Amm2 (No. 38) and the conventional cell measures 8.520, 9.052 and 9.421 Å, with angles of 90.00, 90.00 and 90.00 degrees. The distinct sites, in fractional coordinates, are Hf at (0.000, 0.000, 0.000), Hf at (0.000, 0.000, 0.529), Hf at (0.000, 0.246, 0.764), Hf at (0.249, 0.000, 0.757), Hf at (0.251, 0.246, 0.014), Hf at (0.500, 0.000, 0.518), Hf at (0.500, 0.246, 0.262), Pb at (0.242, 0.000, 0.275) and Pb at (0.500, 0.000, 0.994).